SrZnP2WO8 | Alexandria | PBE+U | relaxed; energy = -175.4 eV per cell
1.0
5.3927 0.0000 0.0000
-2.0614 7.1819 0.0000
-2.0340 -3.0081 8.8252
Sr Zn P W O
2 2 4 2 16
direct
0.1873 0.2836 0.0484 Sr
0.8127 0.7164 0.9516 Sr
0.0792 0.1061 0.3780 Zn
0.9208 0.8939 0.6220 Zn
0.1631 0.4758 0.7147 P
0.4924 0.0651 0.7796 P
0.5077 0.9349 0.2204 P
0.8369 0.5242 0.2853 P
0.4063 0.6847 0.4536 W
0.5937 0.3153 0.5464 W
0.0203 0.7403 0.3718 O
0.0410 0.4116 0.3108 O
0.2337 0.0476 0.8297 O
0.2788 0.9664 0.1155 O
0.2989 0.5273 0.8835 O
0.3786 0.9046 0.6195 O
0.3964 0.5301 0.6329 O
0.4085 0.7295 0.2442 O
0.5915 0.2705 0.7558 O
0.6036 0.4699 0.3671 O
0.6214 0.0954 0.3805 O
0.7011 0.4727 0.1165 O
0.7212 0.0336 0.8845 O
0.7663 0.9524 0.1703 O
0.9590 0.5884 0.6892 O
0.9797 0.2597 0.6282 O